Computed, not measured: SrGe12Rh4 after structural relaxation at the GGA-PBE level of DFT.

Output
Energy relative to the elements = -242 meV per atom
Electronic total energy = -90.60 eV for the cell shown

Lattice parameters (Å, degrees): 7.5336 7.5336 7.5336 109.47 109.47 109.47
Atoms (fractional coordinates):
Sr (0.0000, 0.0000, 0.0000)
Ge (0.8446, 0.3525, 0.1971)
Ge (0.3525, 0.5079, 0.1554)
Ge (0.8029, 0.1554, 0.6475)
Ge (0.3525, 0.1971, 0.8446)
Ge (0.1971, 0.8446, 0.3525)
Ge (0.6475, 0.4921, 0.8446)
Ge (0.5079, 0.1554, 0.3525)
Ge (0.4921, 0.8446, 0.6475)
Ge (0.6475, 0.8029, 0.1554)
Ge (0.8446, 0.6475, 0.4921)
Ge (0.1554, 0.3525, 0.5079)
Ge (0.1554, 0.6475, 0.8029)
Rh (0.0000, 0.5000, 0.0000)
Rh (0.5000, 0.0000, 0.0000)
Rh (0.5000, 0.5000, 0.5000)
Rh (0.0000, 0.0000, 0.5000)